Density functional theory data (PBE-GGA) for a relaxed HfZn2Au2 crystal.

abc: 4.5133 4.5133 5.6459
angles: 90.00 90.00 120.00
Space group P-6m2 (No. 187)
Asymmetric unit:
Hf 0.0000 0.0000 0.0000 [1 per cell]
Zn 0.0000 0.0000 0.5000 [1 per cell]
Zn 0.3333 0.6667 0.0000 [1 per cell]
Au 0.6667 0.3333 0.2536 [2 per cell]

- excess energy over the best structure of this formula in the dataset (eV/atom) = 0.2675
- magnetization (μB per cell) = 0.00
- density of states at the Fermi level (states/eV/f.u.) = 3.8
- energy of formation (meV per atom) = 25